This record from Alexandria describes crystalline NiGeO2F at its relaxed geometry. The functional is PBE with a Hubbard U.

Cell and atoms, written as CIF:
```
data_NiGeO2F
_space_group_name_H-M_alt 'P 4/m m m'
_space_group_IT_number 123
_space_group_name_Hall '-P 4 2'
_cell_length_a 3.8260
_cell_length_b 3.8260
_cell_length_c 3.8862
_cell_angle_alpha 90.00
_cell_angle_beta 90.00
_cell_angle_gamma 90.00
loop_
_atom_site_label
_atom_site_type_symbol
_atom_site_fract_x
_atom_site_fract_y
_atom_site_fract_z
_atom_site_occupancy
Ni1 Ni 0.0000 0.0000 0.0000 1
Ge1 Ge 0.5000 0.5000 0.5000 1
O1 O 0.0000 0.5000 0.0000 1
F1 F 0.0000 0.0000 0.5000 1
```

total DFT energy (no corrections)	-4.61	eV/atom